Computed, not measured: crystalline CsSiNO2 at its relaxed geometry at the PBE level of DFT.

a = 4.404 Å, b = 4.404 Å, c = 4.427 Å
α = 90.00°, β = 90.00°, γ = 90.00°
Space group P4/mmm (No. 123)
Asymmetric unit:
Cs 0.000 0.000 0.000 [1 per cell]
Si 0.500 0.500 0.500 [1 per cell]
N 0.000 0.000 0.500 [1 per cell]
O 0.000 0.500 0.000 [2 per cell]

Properties
The value obtained for the uncorrected formation energy is 1708 meV/atom.

Computed, not measured: crystalline Th6InGe2Se3 at its relaxed geometry at the PBE level of DFT.

a = 18.616 Å, b = 4.333 Å, c = 8.554 Å
α = 90.00°, β = 101.15°, γ = 90.00°
Space group C2/m (No. 12)
Asymmetric unit:
Th 0.004 0.000 0.263 [4 per cell]
Th 0.168 0.500 0.579 [4 per cell]
Th 0.171 0.500 0.092 [4 per cell]
In 0.000 0.500 0.000 [2 per cell]
Ge 0.168 0.000 0.335 [4 per cell]
Se 0.000 0.500 0.500 [2 per cell]
Se 0.163 0.000 0.833 [4 per cell]

Properties
The value obtained for the uncorrected formation energy is -1057 meV/atom.

Computed, not measured: crystalline RbBSF2 at its relaxed geometry at the PBE level of DFT.

a = 3.870 Å, b = 3.870 Å, c = 8.071 Å
α = 90.00°, β = 90.00°, γ = 90.00°
Space group P4/mmm (No. 123)
Asymmetric unit:
Rb 0.000 0.000 0.000 [1 per cell]
B 0.000 0.000 0.500 [1 per cell]
S 0.500 0.500 0.000 [1 per cell]
F 0.000 0.500 0.500 [2 per cell]

Properties
The value obtained for the uncorrected formation energy is -53 meV/atom.

Computed, not measured: crystalline ZrCo2Hg2 at its relaxed geometry at the PBE level of DFT.

a = 6.589 Å, b = 6.589 Å, c = 3.942 Å
α = 90.00°, β = 90.00°, γ = 90.00°
Space group P4/mbm (No. 127)
Asymmetric unit:
Zr 0.000 0.000 0.000 [2 per cell]
Co 0.124 0.376 0.000 [4 per cell]
Hg 0.172 0.672 0.500 [4 per cell]

Properties
The calculation puts the energy relative to the elements at 0.148 eV/atom.